Ta5Mo11: relaxed, GGA-PBE.

Cell lengths 6.4070, 6.4126, 6.4159 Å; angles 89.77, 90.00, 90.00 degrees
Positions (direct):
Mo 0.0000 0.0014 0.5017
Mo 0.0000 0.0013 0.9972
Mo 0.5000 0.4997 0.5017
Ta 0.2521 0.7521 0.2477
Mo 0.5000 0.4981 0.9973
Ta 0.5000 0.0060 0.5053
Mo 0.2513 0.2483 0.7520
Mo 0.7487 0.2489 0.2493
Ta 0.0000 0.4947 0.9953
Mo 0.2512 0.7508 0.7510
Mo 0.7487 0.2483 0.7520
Ta 0.0000 0.4954 0.5033
Mo 0.7488 0.7508 0.7510
Mo 0.5000 0.0031 0.9985
Ta 0.7479 0.7521 0.2477
Mo 0.2513 0.2489 0.2493

**Energy of formation**: -12 kJ per mole of atoms
**SG**: Pm
**Calculated volume**: 263.6 Å³ per cell